Record 1
Here is a relaxed structure of Ag3Pd5 from Alexandria. Energies are from PBE-GGA.

Summary:
**DOS at the Fermi energy**: 7.25 states/eV/f.u.
**Electronic total energy**: -138.6 eV per cell
**Energy above the most stable polymorph in this dataset**: 0.0 meV per atom

a = 5.6306 Å, b = 8.1830 Å, c = 11.2838 Å
α = 90.00°, β = 90.00°, γ = 90.00°
With the nearest neighbours (Å) after each atom.
Space group Fmmm (No. 69)
One atom of each set of equivalent atoms:
Ag 0.0000 0.0000 0.0000  10 Pd 2.82-2.85, 2 Ag 2.84
Ag 0.0000 0.0000 0.2516  9 Pd 2.80-2.87, 3 Ag 2.82-2.84
Pd 0.0000 0.0000 0.5000  4 Ag 2.80-2.82, 8 Pd 2.85
Pd 0.2500 0.2500 0.1237  6 Pd 2.79-2.85, 6 Ag 2.85-2.87

=====

Record 2
Here is a relaxed structure of Tb3Ce2PmBi6 from Alexandria. Energies are from PBE-GGA.

Summary:
**DOS at the Fermi energy**: 15.31 states/eV/f.u.
**Electronic total energy**: -128.3 eV per cell

a = 19.7903 Å, b = 4.5432 Å, c = 9.0891 Å
α = 90.00°, β = 103.31°, γ = 90.00°
With the nearest neighbours (Å) after each atom.
Space group C2/m (No. 12)
One atom of each set of equivalent atoms:
Tb 0.0000 0.0000 0.0000  6 Bi 3.19
Tb 0.1661 0.5000 0.3339  6 Bi 3.18-3.20
Ce 0.1663 0.5000 0.8325  6 Bi 3.22-3.24
Pm 0.0000 0.0000 0.5000  6 Bi 3.24
Bi 0.0010 0.5000 0.2465  3 Tb 3.18-3.19, 1 Ce 3.22, 2 Pm 3.24
Bi 0.1656 0.0000 0.0864  3 Tb 3.19-3.20, 3 Ce 3.24
Bi 0.1680 0.0000 0.5805  3 Tb 3.19, 2 Ce 3.23, 1 Pm 3.24

=====

Record 3
Here is a relaxed structure of Hg2TeRu from Alexandria. Energies are from PBE-GGA.

Summary:
**DOS at the Fermi energy**: 3.86 states/eV/f.u.
**Electronic total energy**: -10.7 eV per cell
**Formation energy from raw total energies**: 573 meV per atom

a = 3.4741 Å, b = 4.7595 Å, c = 5.0924 Å
α = 90.00°, β = 90.00°, γ = 90.00°
With the nearest neighbours (Å) after each atom.
Space group Pmmm (No. 47)
One atom of each set of equivalent atoms:
Hg 0.0000 0.0000 0.0000  4 Hg 2.95, 4 Ru 3.08
Hg 0.5000 0.5000 0.0000  4 Hg 2.95, 4 Te 3.08
Te 0.0000 0.5000 0.5000  4 Ru 2.95, 4 Hg 3.08
Ru 0.5000 0.0000 0.5000  4 Te 2.95, 4 Hg 3.08

=====

Record 4
Here is a relaxed structure of HfGa2Rh2 from Alexandria. Energies are from PBE-GGA.

Summary:
**DOS at the Fermi energy**: 2.75 states/eV/f.u.
**Electronic total energy**: -67.9 eV per cell
**Energy above the most stable polymorph in this dataset**: 0.0 meV per atom

a = 7.3943 Å, b = 7.3943 Å, c = 2.8614 Å
α = 90.00°, β = 90.00°, γ = 90.00°
With the nearest neighbours (Å) after each atom.
Space group P4/mbm (No. 127)
One atom of each set of equivalent atoms:
Hf 0.0000 0.0000 0.0000  2 Hf 2.86, 4 Ga 2.93, 8 Rh 3.08
Ga 0.1236 0.3764 0.0000  6 Rh 2.54-2.66, 1 Ga 2.58
Rh 0.1753 0.6753 0.5000  6 Ga 2.54-2.66

=====

Record 5
Here is a relaxed structure of ZnInNi from Alexandria. Energies are from PBE-GGA.

Summary:
**DOS at the Fermi energy**: 1.19 states/eV/f.u.
**Electronic total energy**: -39.8 eV per cell

a = 5.1290 Å, b = 6.5747 Å, c = 6.6751 Å
α = 67.89°, β = 71.96°, γ = 72.01°
With the nearest neighbours (Å) after each atom.
Space group P1 (No. 1)
One atom of each set of equivalent atoms:
Zn 0.0000 0.0000 0.0000  4 Ni 2.52-2.66, 2 Zn 2.67-2.80, 2 In 2.80-2.81
Zn 0.0235 0.1516 0.5643  4 Ni 2.51-2.67, 3 Zn 2.60-2.67
Zn 0.2027 0.3924 0.7519  5 Ni 2.62-2.91, 2 In 2.73-2.91, 3 Zn 2.80-2.83
Zn 0.5676 0.0961 0.5181  3 Ni 2.50-2.64, 2 Zn 2.60-2.63
In 0.2767 0.5369 0.1720  5 Ni 2.71-2.97, 1 Zn 2.88, 1 In 3.04
In 0.4138 0.0605 0.1509  3 Ni 2.61-2.73, 3 Zn 2.80-2.90
In 0.6600 0.5912 0.4308  4 Ni 2.63-2.83, 2 Zn 2.90-2.91
In 0.7772 0.7324 0.8570  5 Ni 2.66-2.83, 3 Zn 2.73-2.91
Ni 0.0503 0.8209 0.4198  4 In 2.61-2.83, 4 Zn 2.64-2.91, 1 Ni 2.68
Ni 0.3099 0.7710 0.7328  4 Zn 2.51-2.66, 4 In 2.63-2.73, 2 Ni 2.68-2.73
Ni 0.6721 0.3653 0.8477  4 Zn 2.52-2.67, 2 Ni 2.59-2.73, 4 In 2.61-2.79
Ni 0.8733 0.3069 0.1816  4 Zn 2.50-2.79, 1 Ni 2.59, 2 In 2.72-2.73

=====

Record 6
Here is a relaxed structure of ZnCuP2 from Alexandria. Energies are from PBE-GGA.

Summary:
**DOS at the Fermi energy**: 3.00 states/eV/f.u.
**Electronic total energy**: -61.5 eV per cell

a = 5.3571 Å, b = 5.3571 Å, c = 10.5437 Å
α = 90.00°, β = 90.00°, γ = 90.00°
With the nearest neighbours (Å) after each atom.
Space group I-42d (No. 122)
One atom of each set of equivalent atoms:
Zn 0.0000 0.0000 0.0000  4 P 2.38
Cu 0.0000 0.0000 0.5000  4 P 2.24
P 0.2277 0.2500 0.6250  2 Cu 2.24, 2 Zn 2.38

=====

Record 7
Here is a relaxed structure of YAlNi2 from Alexandria. Energies are from PBE-GGA.

Summary:
**DOS at the Fermi energy**: 1.89 states/eV/f.u.
**Electronic total energy**: -45.6 eV per cell

a = 3.8025 Å, b = 3.9534 Å, c = 8.6792 Å
α = 90.00°, β = 90.00°, γ = 90.00°
With the nearest neighbours (Å) after each atom.
Space group Imm2 (No. 44)
One atom of each set of equivalent atoms:
Y 0.0000 0.0000 0.0000  8 Ni 2.75-2.92, 4 Al 2.90-2.92
Al 0.0000 0.5000 0.7552  6 Ni 2.70-2.74, 4 Y 2.90-2.92
Ni 0.0000 0.0000 0.4759  2 Al 2.70, 4 Y 2.75, 4 Ni 2.81-3.01
Ni 0.0000 0.5000 0.2451  4 Al 2.74, 4 Ni 2.81-3.01, 4 Y 2.90-2.92

=====

Record 8
Here is a relaxed structure of CeURhS4 from Alexandria. Energies are from PBE-GGA.

Summary:
**DOS at the Fermi energy**: 8.60 states/eV/f.u.
**Electronic total energy**: -100.5 eV per cell
**Formation energy from raw total energies**: -1308 meV per atom

a = 6.4669 Å, b = 5.8310 Å, c = 7.6851 Å
α = 90.00°, β = 106.87°, γ = 90.00°
With the nearest neighbours (Å) after each atom.
Space group P2_1/m (No. 11)
One atom of each set of equivalent atoms:
Ce 0.2460 0.2500 0.0608  6 S 2.71-2.97
U 0.2443 0.2500 0.5576  6 S 2.71-2.85
Rh 0.2338 0.7500 0.3166  4 S 2.28-2.33
S 0.0342 0.5182 0.7479  1 Rh 2.28
S 0.4434 0.7500 0.6139  1 Rh 2.29
S 0.4449 0.7500 0.1166  1 Rh 2.33